[1]
Below is a relaxed structure of ErSbRh3, with properties calculated at the GGA-PBE level.

Unit cell a=5.5259 b=7.6299 c=8.8608 alpha=90.00 beta=90.00 gamma=90.00
Closest atoms and distances in Å follow each position.
Space group Imma (No. 74)
Inequivalent atoms, fractional coordinates:
Er: 0.0000 0.2500 0.0148 (multiplicity 4)  5 Rh 2.77-2.90
Sb: 0.0000 0.0000 0.5000 (multiplicity 4)  6 Rh 2.62-2.65
Rh: 0.0000 0.2500 0.7020 (multiplicity 4)  2 Sb 2.62, 6 Rh 2.75-2.89, 1 Er 2.77
Rh: 0.2500 0.0565 0.2500 (multiplicity 8)  2 Sb 2.65, 5 Rh 2.75-2.95, 2 Er 2.90

Summary:
For the uncorrected energy, the calculation gives -6.718 eV/atom.

---

[2]
Below is a relaxed structure of Er7Sb2Rh2, with properties calculated at the GGA-PBE level.

Unit cell a=3.9818 b=15.6269 c=9.2723 alpha=90.00 beta=90.00 gamma=90.00
Closest atoms and distances in Å follow each position.
Space group Imm2 (No. 44)
Inequivalent atoms, fractional coordinates:
Er: 0.0000 0.0000 0.0000 (multiplicity 2)  3 Sb 3.09-3.10
Er: 0.0000 0.1266 0.5873 (multiplicity 4)  2 Rh 2.89, 3 Sb 3.08-3.16
Er: 0.0000 0.3152 0.3780 (multiplicity 4)  3 Rh 2.81-3.09, 1 Sb 3.14
Er: 0.0000 0.3540 0.7440 (multiplicity 4)  2 Rh 2.95, 2 Sb 3.14
Sb: 0.0000 0.0000 0.3327 (multiplicity 2)  7 Er 3.08-3.14
Sb: 0.0000 0.5000 0.2444 (multiplicity 2)  8 Er 3.10-3.16
Rh: 0.0000 0.2402 0.0701 (multiplicity 4)  7 Er 2.81-3.09

Summary:
The energy relative to the lowest polymorph listed for this composition comes out at 0 meV/atom. For the uncorrected energy, the calculation gives -5.748 eV/atom.

---

[3]
Below is a relaxed structure of Er12SbRh6, with properties calculated at the GGA-PBE level.

Unit cell a=9.8084 b=9.8084 c=9.8084 alpha=90.00 beta=90.00 gamma=90.00
Closest atoms and distances in Å follow each position.
Space group Im-3 (No. 204)
Inequivalent atoms, fractional coordinates:
Er: 0.0000 0.1905 0.3012 (multiplicity 24)  1 Rh 2.62
Sb: 0.0000 0.0000 0.0000 (multiplicity 2)  12 Er 3.50
Rh: 0.0000 0.3685 0.5000 (multiplicity 12)  1 Rh 2.58, 2 Er 2.62

Summary:
For the uncorrected energy, the calculation gives -6.104 eV/atom.

---

[4]
Below is a relaxed structure of Er2SiSbRh6, with properties calculated at the GGA-PBE level.

Unit cell a=6.0826 b=6.0920 c=7.3327 alpha=89.91 beta=65.55 gamma=60.06
Closest atoms and distances in Å follow each position.
Space group P-1 (No. 2)
Inequivalent atoms, fractional coordinates:
Er: 0.0361 0.2316 0.1967 (multiplicity 2)  9 Rh 2.86-3.06
Si: 0.5000 0.5000 0.0000 (multiplicity 1)  6 Rh 2.25
Sb: 0.5000 0.0000 0.5000 (multiplicity 1)  6 Rh 2.61-2.62
Rh: 0.0148 0.7420 0.1763 (multiplicity 2)  1 Si 2.25
Rh: 0.4308 0.8120 0.8257 (multiplicity 2)  1 Si 2.25
Rh: 0.4319 0.2582 0.8245 (multiplicity 2)  1 Si 2.25

Summary:
For the uncorrected energy, the calculation gives -6.802 eV/atom.

---

[5]
Below is a relaxed structure of Er2Si2SbRh5, with properties calculated at the GGA-PBE level.

Unit cell a=9.7264 b=9.7264 c=3.5578 alpha=90.00 beta=90.00 gamma=90.00
Closest atoms and distances in Å follow each position.
Space group P4/mbm (No. 127)
Inequivalent atoms, fractional coordinates:
Er: 0.1763 0.3237 0.0000 (multiplicity 4)  3 Si 2.80-2.94, 6 Rh 3.01-3.07
Si: 0.1205 0.6205 0.0000 (multiplicity 4)  6 Rh 2.43
Sb: 0.0000 0.0000 0.0000 (multiplicity 2)  8 Rh 2.84
Rh: 0.0000 0.5000 0.5000 (multiplicity 2)  4 Si 2.43
Rh: 0.0699 0.7837 0.5000 (multiplicity 8)  2 Si 2.43

Summary:
For the uncorrected energy, the calculation gives -7.029 eV/atom.

---

[6]
Below is a relaxed structure of Er3Si2SbRh9, with properties calculated at the GGA-PBE level.

Unit cell a=6.1290 b=6.1290 c=9.1711 alpha=90.00 beta=90.00 gamma=120.00
Closest atoms and distances in Å follow each position.
Space group P-3m1 (No. 164)
Inequivalent atoms, fractional coordinates:
Er: 0.0000 0.0000 0.0000 (multiplicity 1)  12 Rh 2.91-3.06
Er: 0.3333 0.6667 0.7421 (multiplicity 2)  9 Rh 2.95-3.07
Si: 0.3333 0.6667 0.1631 (multiplicity 2)  6 Rh 2.21-2.32
Sb: 0.0000 0.0000 0.5000 (multiplicity 1)  6 Rh 2.63
Rh: 0.0000 0.5000 0.0000 (multiplicity 3)  2 Si 2.32
Rh: 0.1462 0.2924 0.2689 (multiplicity 6)  1 Si 2.21

Summary:
For the uncorrected energy, the calculation gives -6.904 eV/atom.

---

[7]
Below is a relaxed structure of Sr2ErSb3Rh4, with properties calculated at the GGA-PBE level.

Unit cell a=4.4554 b=4.4554 c=11.4583 alpha=90.00 beta=90.00 gamma=90.00
Closest atoms and distances in Å follow each position.
Space group P-4m2 (No. 115)
Inequivalent atoms, fractional coordinates:
Sr: 0.0000 0.5000 0.2383 (multiplicity 2)  6 Sb 3.39-3.74, 8 Rh 3.43-3.52, 2 Er 3.74
Er: 0.0000 0.0000 0.5000 (multiplicity 1)  4 Rh 2.76
Sb: 0.0000 0.5000 0.8718 (multiplicity 2)  5 Rh 2.62-2.67
Sb: 0.5000 0.5000 0.5000 (multiplicity 1)  4 Rh 2.76
Rh: 0.0000 0.0000 0.0000 (multiplicity 1)  4 Sb 2.67
Rh: 0.0000 0.5000 0.6428 (multiplicity 2)  3 Sb 2.62-2.76, 2 Er 2.76
Rh: 0.5000 0.5000 0.0000 (multiplicity 1)  4 Sb 2.67

Summary:
For the uncorrected energy, the calculation gives -5.764 eV/atom.

---

[8]
Below is a relaxed structure of Er2Zn2SbRh5, with properties calculated at the GGA-PBE level.

Unit cell a=9.6704 b=9.6704 c=3.6383 alpha=90.00 beta=90.00 gamma=90.00
Closest atoms and distances in Å follow each position.
Space group P4/mbm (No. 127)
Inequivalent atoms, fractional coordinates:
Er: 0.1730 0.3270 0.0000 (multiplicity 4)  3 Zn 2.77-2.91, 2 Rh 2.98
Zn: 0.1245 0.6245 0.0000 (multiplicity 4)  6 Rh 2.49-2.52, 1 Er 2.77
Sb: 0.0000 0.0000 0.0000 (multiplicity 2)  8 Rh 2.77
Rh: 0.0000 0.5000 0.5000 (multiplicity 2)  4 Zn 2.49
Rh: 0.0676 0.7953 0.5000 (multiplicity 8)  2 Zn 2.52, 2 Sb 2.77

Summary:
For the uncorrected energy, the calculation gives -5.945 eV/atom.

---

Energy relative to the elements, uncorrected for the records above, in order: -0.5703; -0.7581; -0.6841; -0.5242; -0.9436; -0.5830; -0.7940; -0.6893 eV/atom